Entry 1:
Below is a geometry-optimized TbPrSm3Sc structure, with properties calculated at the PBE level.

Cell and atoms, written as extended XYZ:
```
12
Lattice="-2.306 4.339 -1.061 -1.738 -5.245 -5.763 -8.137 -3.047 5.227" Properties=species:S:1:pos:R:3 pbc="T T T"
Tb 0.000 0.000 0.000
Tb -4.069 -1.523 2.614
Pr -8.972 -5.337 -2.324
Pr -3.210 1.384 0.727
Sm -6.182 -0.381 -0.029
Sm -7.084 -3.329 1.784
Sm -2.129 1.137 -2.633
Sm -5.097 -0.624 -3.381
Sm -10.053 -5.090 1.036
Sm -5.999 -3.572 -1.568
Sc -3.004 -1.793 -0.804
Sc -9.178 -2.160 -0.793
```

Energy of formation from the pure elements = 0.04 eV/atom
Space-group type = Cmcm, No. 63



Entry 2:
Below is a geometry-optimized Tb2Pr6SmSc structure, with properties calculated at the PBE level.

Cell and atoms, written as extended XYZ:
```
10
Lattice="8.768 0.000 1.207 0.000 6.975 0.000 -2.023 -3.487 5.438" Properties=species:S:1:pos:R:3 pbc="T T T"
Pr 0.388 -1.778 3.917
Pr 2.998 3.487 1.843
Pr 6.357 1.709 2.728
Pr 0.388 1.778 3.917
Pr 6.357 5.265 2.728
Pr 3.746 0.000 4.802
Sm 4.384 0.000 0.604
Sc 0.000 3.487 0.000
Tb 5.722 3.487 5.445
Tb 1.022 0.000 1.200
```

Energy of formation from the pure elements = 0.23 eV/atom
Space-group type = C2/m, No. 12



Entry 3:
Below is a geometry-optimized Tb2PrSmSc4 structure, with properties calculated at the PBE level.

Cell and atoms, written as extended XYZ:
```
8
Lattice="-3.220 -0.172 -3.812 0.575 -4.951 -0.263 -6.373 -6.069 5.656" Properties=species:S:1:pos:R:3 pbc="T T T"
Sc -4.679 -2.928 -2.455
Sc -6.235 -5.874 2.262
Sc -2.782 -5.318 -0.680
Sc -4.338 -8.264 4.036
Sm -2.899 -5.510 2.697
Tb -6.373 -6.069 5.656
Tb -4.796 -3.120 0.922
Pr -1.322 -2.561 -2.037
```

Energy of formation from the pure elements = 0.05 eV/atom
Space-group type = P4/mmm, No. 123